<A>
A plane-wave DFT calculation with meta-GGA SCAN was carried out for a PBEsol-optimized structure of BeRe2Ru.

Fermi-level density of states: 2.25 states/eV per cell

Cell: 2.967 4.157 4.268 Å, 90.00 90.00 90.00°
Sites, in units of the cell vectors:
Be 0.000 0.000 0.000
Re 0.000 0.500 0.500
Re 0.500 0.000 0.500
Ru 0.500 0.500 0.000

---

<B>
A plane-wave DFT calculation with meta-GGA SCAN was carried out for a PBEsol-optimized structure of BeRe2Ru.

Fermi-level density of states: 1.93 states/eV per cell

Cell: 2.677 4.337 4.729 Å, 94.21 94.41 103.41°
Sites, in units of the cell vectors:
Be 0.000 0.000 0.000
Re 0.425 0.023 0.522
Re 0.840 0.506 0.268
Ru 0.300 0.520 0.807

---

Short version: <B> is the least stable of them.

---

<A>
A plane-wave DFT calculation with meta-GGA SCAN was carried out for a PBEsol-optimized structure of N.

Fermi-level density of states: 0.00 states/eV per cell

Cell: 5.695 5.695 5.695 Å, 90.00 90.00 90.00°
Sites, in units of the cell vectors:
N 0.056 0.056 0.056
N 0.056 0.444 0.556
N 0.444 0.556 0.056
N 0.444 0.944 0.556
N 0.556 0.056 0.444
N 0.556 0.444 0.944
N 0.944 0.556 0.444
N 0.944 0.944 0.944

---

<B>
A plane-wave DFT calculation with meta-GGA SCAN was carried out for a PBEsol-optimized structure of N.

Fermi-level density of states: 0.00 states/eV per cell

Cell: 7.097 7.097 7.097 Å, 86.43 86.43 86.43°
Sites, in units of the cell vectors:
N 0.043 0.043 0.043
N 0.044 0.725 0.561
N 0.061 0.225 0.544
N 0.225 0.544 0.061
N 0.275 0.439 0.956
N 0.439 0.956 0.275
N 0.456 0.939 0.775
N 0.457 0.457 0.457
N 0.543 0.543 0.543
N 0.544 0.061 0.225
N 0.561 0.044 0.725
N 0.725 0.561 0.044
N 0.775 0.456 0.939
N 0.939 0.775 0.456
N 0.956 0.275 0.439
N 0.957 0.957 0.957

---

Short version: <B> is the least stable of them.

---

<A>
A plane-wave DFT calculation with meta-GGA SCAN was carried out for a PBEsol-optimized structure of ScTcSe2.

Fermi-level density of states: 3.97 states/eV per cell

Cell: 3.173 3.173 6.462 Å, 90.00 90.00 90.00°
Sites, in units of the cell vectors:
Sc 0.000 0.000 0.000
Tc 0.000 0.000 0.500
Se 0.500 0.500 0.265
Se 0.500 0.500 0.735

---

<B>
A plane-wave DFT calculation with meta-GGA SCAN was carried out for a PBEsol-optimized structure of ScTcSe2.

Fermi-level density of states: 2.24 states/eV per cell

Cell: 8.365 8.365 8.365 Å, 24.60 24.60 24.60°
Sites, in units of the cell vectors:
Sc 0.000 0.000 0.000
Tc 0.500 0.500 0.500
Se 0.400 0.400 0.400
Se 0.600 0.600 0.600

---

Short version: <A> is the least stable of them.

---

<A>
A plane-wave DFT calculation with meta-GGA SCAN was carried out for a PBEsol-optimized structure of CoIr2Pt.

Fermi-level density of states: 3.91 states/eV per cell

Cell: 2.691 3.749 5.337 Å, 90.00 90.00 90.00°
Sites, in units of the cell vectors:
Co 0.000 0.000 0.000
Ir 0.000 0.000 0.484
Ir 0.500 0.500 0.242
Pt 0.500 0.500 0.754

---

<B>
A plane-wave DFT calculation with meta-GGA SCAN was carried out for a PBEsol-optimized structure of CoIr2Pt.

Fermi-level density of states: 3.60 states/eV per cell

Cell: 4.620 4.620 4.630 Å, 100.17 100.17 33.75°
Sites, in units of the cell vectors:
Co 0.000 0.000 0.000
Ir 0.256 0.256 0.760
Ir 0.744 0.744 0.240
Pt 0.500 0.500 0.500

---

Short version: <A> is the least stable of them.

---

<A>
A plane-wave DFT calculation with meta-GGA SCAN was carried out for a PBEsol-optimized structure of LiVF4.

Cell: 6.387 6.387 5.374 Å, 91.86 91.86 47.00°
Sites, in units of the cell vectors:
Li 0.000 0.000 0.250
Li 0.000 0.000 0.750
V 0.000 0.500 0.000
V 0.500 0.000 0.500
F 0.051 0.764 0.993
F 0.232 0.335 0.299
F 0.236 0.949 0.507
F 0.335 0.232 0.799
F 0.665 0.768 0.201
F 0.764 0.051 0.493
F 0.768 0.665 0.701
F 0.949 0.236 0.007

---

<B>
A plane-wave DFT calculation with meta-GGA SCAN was carried out for a PBEsol-optimized structure of LiVF4.

Cell: 4.588 4.588 3.061 Å, 90.00 90.00 91.97°
Sites, in units of the cell vectors:
Li 0.000 0.000 0.000
V 0.500 0.500 0.500
F 0.205 0.205 0.500
F 0.312 0.688 0.000
F 0.688 0.312 0.000
F 0.795 0.795 0.500

---

Short version: <A> is the least stable of them.

---

<A>
A plane-wave DFT calculation with meta-GGA SCAN was carried out for a PBEsol-optimized structure of InCu2Te.

Fermi-level density of states: 1.58 states/eV per cell

Cell: 3.220 3.874 6.168 Å, 90.00 90.00 90.00°
Sites, in units of the cell vectors:
In 0.000 0.000 0.000
Cu 0.500 0.500 0.197
Cu 0.500 0.500 0.803
Te 0.500 0.000 0.500

---

<B>
A plane-wave DFT calculation with meta-GGA SCAN was carried out for a PBEsol-optimized structure of InCu2Te.

Fermi-level density of states: 2.36 states/eV per cell

Cell: 4.782 4.782 4.782 Å, 60.00 60.00 60.00°
Sites, in units of the cell vectors:
In 0.000 0.000 0.000
Cu 0.500 0.500 0.500
Cu 0.750 0.750 0.750
Te 0.250 0.250 0.250

---

Short version: <B> is the least stable of them.